Entry 1:
An optimized crystal structure of Cu2Ni2Bi, computed with PBE.

Calculated values
Symmetry: P4/mbm
Fermi-level density of states, states/eV/cell: 7.8
Crystal system: tetragonal
Electronic total energy, eV per atom: -4.5000
DFT formation energy, eV/atom: 0.227

Cell lengths 6.764, 6.764, 3.221 Å; angles 90.00, 90.00, 90.00 degrees
Atoms (fractional coordinates):
Ni1 0.133 0.367 0.000
Ni2 0.367 0.867 0.000
Bi1 0.000 0.000 0.000
Cu1 0.151 0.651 0.500
Cu2 0.349 0.151 0.500
Cu3 0.651 0.849 0.500
Cu4 0.849 0.349 0.500
Ni3 0.633 0.133 0.000
Bi2 0.500 0.500 0.000
Ni4 0.867 0.633 0.000

Entry 2:
An optimized crystal structure of Ce2Pu3Si2, computed with PBE.

Calculated values
E_form (uncorrected), meV/atom: -287
Symmetry: C2/m
Fermi-level density of states, states/eV/cell: 17.6
Crystal system: monoclinic
Electronic total energy, eV per atom: -9.6737

Cell lengths 4.285, 5.905, 6.951 Å; angles 79.66, 90.00, 111.28 degrees
Each line ends with the local moment (μB).
Atoms (fractional coordinates):
Ce1 0.150 0.299 0.218  0.68
Pu1 0.500 0.000 0.000  5.34
Si1 0.857 0.714 0.225  -0.07
Ce2 0.850 0.701 0.782  0.68
Si2 0.143 0.286 0.775  -0.07
Pu2 0.624 0.247 0.494  5.07
Pu3 0.376 0.753 0.506  5.07

Entry 3:
An optimized crystal structure of CsZrI5, computed with PBE.

Calculated values
E_form (uncorrected), meV/atom: -1063
Symmetry: C2/c
Fermi-level density of states, states/eV/cell: 0.0
Crystal system: monoclinic
Electronic total energy, eV per atom: -3.5136

Cell lengths 9.251, 9.251, 12.300 Å; angles 83.19, 116.46, 124.41 degrees
Atoms (fractional coordinates):
I1 0.319 0.069 0.250
I2 0.177 0.898 0.540
I3 0.691 0.361 0.597
I4 0.264 0.094 0.903
Cs1 0.235 0.485 0.750
I5 0.681 0.931 0.750
I6 0.736 0.906 0.097
I7 0.859 0.637 0.960
I8 0.309 0.639 0.403
I9 0.141 0.363 0.040
Zr1 0.000 0.000 0.000
Cs2 0.765 0.515 0.250
Zr2 0.500 0.000 0.500
I10 0.823 0.102 0.460

Entry 4:
An optimized crystal structure of Sc2Tl2As, computed with PBE.

Calculated values
Symmetry: P4/mbm
Fermi-level density of states, states/eV/cell: 10.1
Crystal system: tetragonal
Electronic total energy, eV per atom: -4.5344
DFT formation energy, eV/atom: -0.125

Cell lengths 7.593, 7.593, 4.186 Å; angles 90.00, 90.00, 90.00 degrees
Atoms (fractional coordinates):
As1 0.500 0.500 0.000
As2 0.000 0.000 0.000
Sc1 0.334 0.166 0.500
Sc2 0.666 0.834 0.500
Tl1 0.139 0.361 0.000
Tl2 0.361 0.861 0.000
Tl3 0.639 0.139 0.000
Tl4 0.861 0.639 0.000
Sc3 0.834 0.334 0.500
Sc4 0.166 0.666 0.500

Repeat the first record exactly.
An optimized crystal structure of Cu2Ni2Bi, computed with PBE.

Calculated values
Symmetry: P4/mbm
Fermi-level density of states, states/eV/cell: 7.8
Crystal system: tetragonal
Electronic total energy, eV per atom: -4.5000
DFT formation energy, eV/atom: 0.227

Cell lengths 6.764, 6.764, 3.221 Å; angles 90.00, 90.00, 90.00 degrees
Atoms (fractional coordinates):
Ni1 0.133 0.367 0.000
Ni2 0.367 0.867 0.000
Bi1 0.000 0.000 0.000
Cu1 0.151 0.651 0.500
Cu2 0.349 0.151 0.500
Cu3 0.651 0.849 0.500
Cu4 0.849 0.349 0.500
Ni3 0.633 0.133 0.000
Bi2 0.500 0.500 0.000
Ni4 0.867 0.633 0.000

What is the electronic total energy in the first record?
-4.5000 eV per atom

Which of these has the highest Fermi-level density of states?
Ce2Pu3Si2

Which of these has the highest electronic total energy?
CsZrI5